Entry 1:
Here is a geometry-optimized K2SrY structure from the Alexandria database. Energies are from PBE.

```
K2SrY
1.0
2.252 -3.198 0.000
2.252 3.198 0.000
0.000 0.000 14.125
K Sr Y
2 1 1
Direct
0.000 0.000 0.000 K
0.500 0.500 0.286 K
0.000 0.000 0.555 Sr
0.500 0.500 0.762 Y
```

Calculated values
- formation energy from the elements (eV per atom) = 0.26
- crystal system = orthorhombic

=====

Entry 2:
Here is a geometry-optimized K2SrY structure from the Alexandria database. Energies are from PBE.

```
K2SrY
1.0
3.850 -7.016 0.000
3.850 7.016 0.000
0.000 0.000 3.755
K Sr Y
2 1 1
Direct
0.000 0.500 0.000 K
0.500 0.000 0.000 K
0.000 0.000 0.500 Sr
0.500 0.500 0.500 Y
```

Calculated values
- formation energy from the elements (eV per atom) = 0.43
- crystal system = orthorhombic

=====

Entry 3:
Here is a geometry-optimized K2SrY structure from the Alexandria database. Energies are from PBE.

```
K2SrY
1.0
3.769 0.000 0.000
0.000 6.986 0.000
0.000 0.000 7.715
K Sr Y
2 1 1
Direct
0.000 0.000 0.239 K
0.000 0.000 0.761 K
0.500 0.500 0.500 Sr
0.500 0.500 0.000 Y
```

Calculated values
- formation energy from the elements (eV per atom) = 0.42
- crystal system = orthorhombic

=====

Entry 4:
Here is a geometry-optimized K3SrY structure from the Alexandria database. Energies are from PBE.

```
K3SrY
1.0
7.045 0.000 0.000
0.000 7.045 0.000
0.000 0.000 7.045
K Sr Y
3 1 1
Direct
0.000 0.000 0.500 K
0.000 0.500 0.000 K
0.500 0.000 0.000 K
0.500 0.500 0.500 Sr
0.000 0.000 0.000 Y
```

Calculated values
- formation energy from the elements (eV per atom) = 0.82
- crystal system = cubic

=====

Entry 5:
Here is a geometry-optimized KSr2Y structure from the Alexandria database. Energies are from PBE.

```
KSr2Y
1.0
0.000 4.592 4.592
4.592 0.000 4.592
4.592 4.592 0.000
K Sr Y
1 2 1
Direct
0.000 0.000 0.000 K
0.500 0.500 0.500 Sr
0.750 0.750 0.750 Sr
0.250 0.250 0.250 Y
```

Calculated values
- formation energy from the elements (eV per atom) = 0.38
- crystal system = cubic

=====

Entry 6:
Here is a geometry-optimized K2SrY structure from the Alexandria database. Energies are from PBE.

```
K2SrY
1.0
0.000 4.721 4.721
4.721 0.000 4.721
4.721 4.721 0.000
K Sr Y
2 1 1
Direct
0.000 0.000 0.000 K
0.250 0.250 0.250 K
0.500 0.500 0.500 Sr
0.750 0.750 0.750 Y
```

Calculated values
- formation energy from the elements (eV per atom) = 0.49
- crystal system = cubic

=====

What are the ρ values for these records? In order: 2079; 2085; 2082; 1395; 2600; 2010 kg/m3.
What are the E values for these records? In order: -2.327; -2.156; -2.161; -1.466; -2.347; -2.098 eV/atom.